Compound: Nd8P3IrCl4
Source: Alexandria
Functional: GGA-PBE
Structure: relaxed

The uncorrected energy is -5.89 eV per atom. The formation energy (no corrections) comes out at -1.47 eV per atom. Its volume is 1254.5 Å³/cell. The density of states at the Fermi level is 20.8 states/eV/cell.

The space group is R-3m (No. 166, hexagonal axes) and the conventional cell measures 8.3489, 8.3489 and 20.7810 Å, with angles of 90.00, 90.00 and 120.00 degrees. The inequivalent atoms are Nd at (0.0000, 0.0000, 0.2395), Nd at (0.0046, 0.5023, 0.2390), P at (0.0000, 0.5000, 0.5000), Ir at (0.0000, 0.0000, 0.5000), Cl at (0.0000, 0.0000, 0.0000) and Cl at (0.0000, 0.5000, 0.0000).

Compound: Ho2Tm5Sc4
Source: Alexandria
Functional: GGA-PBE
Structure: relaxed

The uncorrected energy is -5.06 eV per atom. The energy above the most stable polymorph in this dataset comes out at 0.691 kcal/mol of atoms. The formation energy comes out at 0.1110 eV per atom. Its volume is 318.1 Å³/cell. The density of states at the Fermi level is 16.0 states/eV/cell.

The space group is P2/m (No. 10) and the conventional cell measures 8.623, 3.475 and 10.658 Å, with angles of 90.00, 94.97 and 90.00 degrees. The inequivalent atoms are Ho at (0.076, 0.000, 0.137), Tm at (0.147, 0.000, 0.633), Tm at (0.453, 0.000, 0.167), Tm at (0.500, 0.000, 0.500), Sc at (0.202, 0.500, 0.372) and Sc at (0.248, 0.500, 0.926).

Compound: Ta3InW
Source: Alexandria
Functional: GGA-PBE
Structure: relaxed

The uncorrected energy is -7.72 eV per atom. The energy above the most stable polymorph in this dataset comes out at 26.905 kcal/mol of atoms. The formation energy comes out at 2.5327 eV per atom. Its volume is 117.0 Å³/cell. The density of states at the Fermi level is 6.2 states/eV/cell.

The space group is Pm-3m (No. 221) and the conventional cell measures 4.890, 4.890 and 4.890 Å, with angles of 90.00, 90.00 and 90.00 degrees. The inequivalent atoms are Ta at (0.000, 0.000, 0.500), In at (0.000, 0.000, 0.000) and W at (0.500, 0.500, 0.500).

Compound: SmB4W
Source: Alexandria
Functional: GGA-PBE
Structure: relaxed

The uncorrected energy is -7.94 eV per atom. The formation energy comes out at -0.5422 eV per atom. Its volume is 264.1 Å³/cell. The density of states at the Fermi level is 0.6 states/eV/cell.

The space group is Pbam (No. 55) and the conventional cell measures 6.099, 11.792 and 3.672 Å, with angles of 90.00, 90.00 and 90.00 degrees. The inequivalent atoms are Sm at (0.126, 0.150, 0.000), B at (0.025, 0.692, 0.500), B at (0.113, 0.547, 0.500), B at (0.136, 0.968, 0.500), B at (0.216, 0.814, 0.500) and W at (0.129, 0.416, 0.000).

Compound: PrTm6Th
Source: Alexandria
Functional: GGA-PBE
Structure: relaxed

The uncorrected energy is -4.85 eV per atom. The energy above the most stable polymorph in this dataset comes out at 0.000 kcal/mol of atoms. The formation energy comes out at 0.0297 eV per atom. Its volume is 248.7 Å³/cell. The density of states at the Fermi level is 12.5 states/eV/cell.

The space group is P4/mmm (No. 123) and the conventional cell measures 4.985, 4.985 and 10.008 Å, with angles of 90.00, 90.00 and 90.00 degrees. The inequivalent atoms are Pr at (0.000, 0.000, 0.000), Tm at (0.000, 0.500, 0.254), Tm at (0.500, 0.500, 0.000), Tm at (0.500, 0.500, 0.500) and Th at (0.000, 0.000, 0.500).

Compound: Hg2OsPb
Source: Alexandria
Functional: GGA-PBE
Structure: relaxed

The uncorrected energy is -3.10 eV per atom. The formation energy comes out at 0.7833 eV per atom. Its volume is 177.9 Å³/cell. The density of states at the Fermi level is 4.9 states/eV/cell.

The space group is Cmmm (No. 65) and the conventional cell measures 3.054, 5.385 and 10.819 Å, with angles of 90.00, 90.00 and 90.00 degrees. The inequivalent atoms are Hg at (0.000, 0.000, 0.221), Os at (0.000, 0.500, 0.000) and Pb at (0.000, 0.500, 0.500).

Compound: MgZn5Ag2
Source: Alexandria
Functional: GGA-PBE
Structure: relaxed

The uncorrected energy is -1.67 eV per atom. The formation energy comes out at 0.0343 eV per atom. Its volume is 284.7 Å³/cell. The density of states at the Fermi level is 5.8 states/eV/cell.

The space group is Immm (No. 71) and the conventional cell measures 4.217, 7.993 and 8.445 Å, with angles of 90.00, 90.00 and 90.00 degrees. The inequivalent atoms are Mg at (0.000, 0.000, 0.000), Zn at (0.000, 0.170, 0.341), Zn at (0.000, 0.500, 0.000) and Ag at (0.000, 0.500, 0.306).

Compound: CuHSe
Source: Alexandria
Functional: GGA-PBE
Structure: relaxed

The uncorrected energy is -3.43 eV per atom. The energy above the most stable polymorph in this dataset comes out at 6.360 kcal/mol of atoms. Its volume is 196.2 Å³/cell. The density of states at the Fermi level is 2.4 states/eV/cell.

The space group is C2/m (No. 12) and the conventional cell measures 10.439, 2.774 and 7.306 Å, with angles of 90.00, 112.02 and 90.00 degrees. The inequivalent atoms are Cu at (0.198, 0.000, 0.092), H at (0.063, 0.000, 0.826) and Se at (0.090, 0.000, 0.327).

Compound: RbSn3O
Source: Alexandria
Functional: GGA-PBE
Structure: relaxed

The uncorrected energy is -1.89 eV per atom. The formation energy (no corrections) comes out at 1.70 eV per atom. The energy above the most stable polymorph in this dataset comes out at 42.548 kcal/mol of atoms. Its volume is 245.5 Å³/cell. The density of states at the Fermi level is 5.8 states/eV/cell.

The space group is Pm-3m (No. 221) and the conventional cell measures 6.261, 6.261 and 6.261 Å, with angles of 90.00, 90.00 and 90.00 degrees. The inequivalent atoms are Rb at (0.000, 0.000, 0.000), Sn at (0.000, 0.000, 0.500) and O at (0.500, 0.500, 0.500).

Compound: Rb3Ce3CrS8
Source: Alexandria
Functional: GGA-PBE
Structure: relaxed

The uncorrected energy is -5.76 eV per atom. The formation energy (no corrections) comes out at -1.53 eV per atom. Its volume is 1329.3 Å³/cell. The density of states at the Fermi level is 42.8 states/eV/cell.

The space group is R-3m (No. 166, hexagonal axes) and the conventional cell measures 8.1011, 8.1011 and 23.3883 Å, with angles of 90.00, 90.00 and 120.00 degrees. The inequivalent atoms are Rb at (0.0000, 0.5000, 0.0000), Ce at (0.0000, 0.5000, 0.5000), Cr at (0.0000, 0.0000, 0.5000), S at (0.0000, 0.0000, 0.2325) and S at (0.0294, 0.5147, 0.2256).

Compound: Cs2TaZnBr6
Source: Alexandria
Functional: GGA-PBE
Structure: relaxed

The uncorrected energy is -3.54 eV per atom. The formation energy (no corrections) comes out at -1.05 eV per atom. Its volume is 1617.2 Å³/cell. The density of states at the Fermi level is 52.3 states/eV/cell.

The space group is Fm-3m (No. 225) and the conventional cell measures 11.738, 11.738 and 11.738 Å, with angles of 90.00, 90.00 and 90.00 degrees. The inequivalent atoms are Cs at (0.250, 0.250, 0.250), Ta at (0.000, 0.000, 0.000), Zn at (0.000, 0.000, 0.500) and Br at (0.000, 0.000, 0.221).

Compound: Cd7Ag3Pd2
Source: Alexandria
Functional: GGA-PBE
Structure: relaxed

The uncorrected energy is -2.14 eV per atom. The formation energy comes out at -0.0289 eV per atom. Its volume is 509.7 Å³/cell. The density of states at the Fermi level is 7.6 states/eV/cell.

The space group is Cmmm (No. 65) and the conventional cell measures 4.863, 21.335 and 4.913 Å, with angles of 90.00, 90.00 and 90.00 degrees. The inequivalent atoms are Cd at (0.000, 0.000, 0.000), Cd at (0.000, 0.085, 0.500), Cd at (0.000, 0.281, 0.000), Cd at (0.000, 0.422, 0.000), Ag at (0.000, 0.349, 0.500), Ag at (0.000, 0.500, 0.500) and Pd at (0.000, 0.147, 0.000).

Compound: MnTlAg2
Source: Alexandria
Functional: GGA-PBE
Structure: relaxed

The uncorrected energy is -3.97 eV per atom. The energy above the most stable polymorph in this dataset comes out at 2.194 kcal/mol of atoms. The formation energy comes out at 0.3400 eV per atom. Its volume is 156.9 Å³/cell. The density of states at the Fermi level is 4.0 states/eV/cell.

The space group is Cmmm (No. 65) and the conventional cell measures 5.964, 8.071 and 3.260 Å, with angles of 90.00, 90.00 and 90.00 degrees. The inequivalent atoms are Mn at (0.000, 0.000, 0.000), Tl at (0.000, 0.500, 0.000) and Ag at (0.250, 0.250, 0.500).

Compound: CaNiP
Source: Alexandria
Functional: GGA-PBE
Structure: relaxed

The uncorrected energy is -5.22 eV per atom. The formation energy comes out at -0.8255 eV per atom. Its volume is 104.5 Å³/cell. The density of states at the Fermi level is 5.5 states/eV/cell.

The space group is P4/nmm (No. 129, origin choice 2) and the conventional cell measures 3.941, 3.941 and 6.727 Å, with angles of 90.00, 90.00 and 90.00 degrees. The inequivalent atoms are Ca at (0.250, 0.250, 0.176), Ni at (0.250, 0.750, 0.500) and P at (0.250, 0.250, 0.687).

Compound: Tb6Cd2NO
Source: Alexandria
Functional: GGA-PBE
Structure: relaxed

The uncorrected energy is -5.38 eV per atom. The formation energy (no corrections) comes out at -1.10 eV per atom. Its volume is 904.9 Å³/cell. The density of states at the Fermi level is 23.9 states/eV/cell.

The space group is Fm-3m (No. 225) and the conventional cell measures 9.672, 9.672 and 9.672 Å, with angles of 90.00, 90.00 and 90.00 degrees. The inequivalent atoms are Tb at (0.000, 0.000, 0.248), Cd at (0.250, 0.250, 0.250), N at (0.000, 0.000, 0.000) and O at (0.000, 0.000, 0.500).

Compound: Pr4NdTm2Sc
Source: Alexandria
Functional: GGA-PBE
Structure: relaxed

The uncorrected energy is -4.80 eV per atom. The formation energy comes out at 0.0999 eV per atom. Its volume is 263.7 Å³/cell. The density of states at the Fermi level is 13.5 states/eV/cell.

The space group is P4/mmm (No. 123) and the conventional cell measures 5.913, 5.913 and 7.542 Å, with angles of 90.00, 90.00 and 90.00 degrees. The inequivalent atoms are Pr at (0.000, 0.500, 0.249), Nd at (0.000, 0.000, 0.000), Tm at (0.000, 0.000, 0.500), Tm at (0.500, 0.500, 0.500) and Sc at (0.500, 0.500, 0.000).

Compound: RbInAgAu3
Source: Alexandria
Functional: GGA-PBE
Structure: relaxed

The uncorrected energy is -2.81 eV per atom. The formation energy comes out at -0.0747 eV per atom. Its volume is 663.9 Å³/cell. The density of states at the Fermi level is 7.9 states/eV/cell.

The space group is Cmcm (No. 63) and the conventional cell measures 7.064, 12.986 and 7.237 Å, with angles of 90.00, 90.00 and 90.00 degrees. The inequivalent atoms are Rb at (0.000, 0.213, 0.250), In at (0.000, 0.113, 0.750), Ag at (0.000, 0.469, 0.250), Au at (0.000, 0.320, 0.750) and Au at (0.213, 0.000, 0.000).

Compound: SbAu3F
Source: Alexandria
Functional: GGA-PBE
Structure: relaxed

The uncorrected energy is -2.88 eV per atom. The formation energy (no corrections) comes out at 0.28 eV per atom. The energy above the most stable polymorph in this dataset comes out at 0.233 kcal/mol of atoms. Its volume is 141.5 Å³/cell. The density of states at the Fermi level is 9.1 states/eV/cell.

The space group is Pm-3m (No. 221) and the conventional cell measures 5.211, 5.211 and 5.211 Å, with angles of 90.00, 90.00 and 90.00 degrees. The inequivalent atoms are Sb at (0.000, 0.000, 0.000), Au at (0.000, 0.000, 0.500) and F at (0.500, 0.500, 0.500).

Compound: KAlCd2Bi
Source: Alexandria
Functional: GGA-PBE
Structure: relaxed

The uncorrected energy is -1.13 eV per atom. The formation energy comes out at 0.9824 eV per atom. Its volume is 196.4 Å³/cell. The density of states at the Fermi level is 4.1 states/eV/cell.

The space group is P4/mmm (No. 123) and the conventional cell measures 5.775, 5.775 and 5.888 Å, with angles of 90.00, 90.00 and 90.00 degrees. The inequivalent atoms are K at (0.000, 0.000, 0.000), Al at (0.000, 0.000, 0.500), Cd at (0.000, 0.500, 0.000) and Bi at (0.500, 0.500, 0.500).

Compound: Mn5Co6Ge
Source: Alexandria
Functional: GGA-PBE
Structure: relaxed

The uncorrected energy is -7.84 eV per atom. The formation energy comes out at -0.0833 eV per atom. Its volume is 279.9 Å³/cell. The density of states at the Fermi level is 16.3 states/eV/cell.

The space group is Immm (No. 71) and the conventional cell measures 4.033, 5.723 and 12.126 Å, with angles of 90.00, 90.00 and 90.00 degrees. The inequivalent atoms are Mn at (0.000, 0.000, 0.000), Mn at (0.000, 0.000, 0.333), Mn at (0.000, 0.500, 0.333), Co at (0.000, 0.249, 0.168), Co at (0.000, 0.252, 0.500) and Ge at (0.000, 0.500, 0.000).